Computed, not measured: a relaxed structure of LiTcP at the PBE-GGA level of DFT.

Structure (POSCAR):
```
LiTcP
1.0
6.9154 0.0000 0.0000
0.0000 6.9154 0.0000
0.0000 0.0000 4.0353
Li Tc P
4 4 4
Cartesian
0.5069 4.8824 0.0000 Li
2.0330 0.5069 2.0177 Li
4.8824 6.4085 2.0177 Li
6.4085 2.0330 0.0000 Li
2.3309 2.7524 0.0000 Tc
2.7524 4.5845 2.0177 Tc
4.1630 2.3309 2.0177 Tc
4.5845 4.1630 0.0000 Tc
1.0442 2.9830 2.0177 P
2.9830 5.8712 0.0000 P
3.9324 1.0442 0.0000 P
5.8712 3.9324 2.0177 P
```

The total energy is -75.67 eV for the cell shown. The calculation puts the mass density at 4.7 Mg/m³. Its density of states at the Fermi level is 2.1 states/eV/f.u.